Material: Ti2VIn2
Method: DFT, PBE
State: optimized geometry

Calculated values
Space group: P4/mbm, No. 127
D(E_F): 5.1 states/eV/f.u.
Final energy: -5.880 eV/atom
Total moment: 1.969 μB per formula unit

a b c (Å): 7.307 7.307 3.636
angles (deg): 90.00 90.00 90.00
Site moments in Bohr magnetons follow the coordinates.
Element x y z (fractional)
Ti 0.832 0.332 0.500  -0.18
Ti 0.668 0.832 0.500  -0.18
Ti 0.332 0.168 0.500  -0.18
Ti 0.168 0.668 0.500  -0.18
In 0.136 0.364 0.000  -0.02
In 0.364 0.864 0.000  -0.02
In 0.864 0.636 0.000  -0.02
In 0.636 0.136 0.000  -0.02
V 0.500 0.500 0.000  2.00
V 0.000 0.000 0.000  2.00

=====

Material: Ti2VIn
Method: DFT, PBE
State: optimized geometry

Calculated values
Space group: P4/mmm, No. 123
D(E_F): 4.5 states/eV/f.u.
Final energy: -7.027 eV/atom
Total moment: 0.000 μB per formula unit

a b c (Å): 3.242 3.242 6.553
angles (deg): 90.00 90.00 90.00
Element x y z (fractional)
In 0.500 0.500 0.500
Ti 0.000 0.000 0.785
Ti 0.000 0.000 0.215
V 0.500 0.500 0.000

=====

Material: Ti4V2In
Method: DFT, PBE
State: optimized geometry

Calculated values
Polymorph energy (0 for the lowest one): 0.000 eV/atom
Space group: Cmmm, No. 65
D(E_F): 11.7 states/eV/f.u.
Final energy: -7.266 eV/atom
Total moment: 0.000 μB per formula unit

a b c (Å): 4.825 2.965 8.542
angles (deg): 100.00 90.00 90.00
Element x y z (fractional)
Ti 0.000 0.323 0.645
Ti 0.000 0.677 0.355
Ti 0.500 0.185 0.371
Ti 0.500 0.815 0.629
In 0.000 0.000 0.000
V 0.500 0.438 0.877
V 0.500 0.562 0.123

=====

Material: Ti3VIn
Method: DFT, PBE
State: optimized geometry

Calculated values
Polymorph energy (0 for the lowest one): 0.453 eV/atom
Space group: Pm-3m, No. 221
D(E_F): 7.9 states/eV/f.u.
Final energy: -6.580 eV/atom
Total moment: 0.104 μB per formula unit

a b c (Å): 4.600 4.600 4.600
angles (deg): 90.00 90.00 90.00
Element x y z (fractional)
Ti 0.000 0.000 0.500
Ti 0.000 0.500 0.000
Ti 0.500 0.000 0.000
V 0.000 0.000 0.000
In 0.500 0.500 0.500

=====

Material: Ti2VIn
Method: DFT, PBE
State: optimized geometry

Calculated values
Space group: R3m, No. 160
D(E_F): 4.6 states/eV/f.u.
Final energy: -6.814 eV/atom
Total moment: 1.184 μB per formula unit

a b c (Å): 3.025 3.025 9.210
angles (deg): 80.57 80.57 60.00
Site moments in Bohr magnetons follow the coordinates.
Element x y z (fractional)
V 0.667 0.667 0.999  0.91
Ti 0.074 0.074 0.777  0.06
Ti 0.259 0.259 0.224  0.07
In 0.500 0.500 0.500  0.01

=====

Material: Ti2VIn
Method: DFT, PBE
State: optimized geometry

Calculated values
Space group: I-42d, No. 122
D(E_F): 4.4 states/eV/f.u.
Final energy: -6.425 eV/atom
Total moment: 0.000 μB per formula unit

a b c (Å): 3.872 3.872 10.183
angles (deg): 79.04 79.04 90.00
Element x y z (fractional)
V 0.500 0.500 0.000
V 0.250 0.750 0.500
Ti 0.875 0.861 0.750
Ti 0.611 0.125 0.250
Ti 0.375 0.389 0.750
Ti 0.139 0.625 0.250
In 0.000 0.000 0.000
In 0.750 0.250 0.500

=====

Material: TiVIn
Method: DFT, PBE
State: optimized geometry

Calculated values
Polymorph energy (0 for the lowest one): 0.105 eV/atom
Space group: Cmcm, No. 63
D(E_F): 3.9 states/eV/f.u.
Final energy: -6.402 eV/atom
Total moment: 0.574 μB per formula unit

a b c (Å): 4.490 2.786 8.400
angles (deg): 80.45 90.00 90.00
Site moments in Bohr magnetons follow the coordinates.
Element x y z (fractional)
V 0.250 0.292 0.416  0.30
V 0.750 0.708 0.584  0.30
Ti 0.250 0.455 0.090  0.21
Ti 0.750 0.545 0.910  0.21
In 0.750 0.876 0.248  -0.01
In 0.250 0.124 0.752  -0.01

=====

Material: Ti12VIn6
Method: DFT, PBE
State: optimized geometry

Calculated values
Space group: R-3, No. 148
D(E_F): 25.5 states/eV/f.u.
Final energy: -6.318 eV/atom
Total moment: 0.012 μB per formula unit

a b c (Å): 7.076 7.076 7.076
angles (deg): 91.87 91.87 91.87
Site moments in Bohr magnetons follow the coordinates.
Element x y z (fractional)
Ti 0.938 0.853 0.633  -0.01
Ti 0.853 0.633 0.938  -0.01
Ti 0.633 0.938 0.853  -0.01
Ti 0.457 0.791 0.531  0.00
Ti 0.062 0.147 0.367  -0.01
Ti 0.147 0.367 0.062  -0.01
Ti 0.209 0.469 0.543  0.00
Ti 0.469 0.543 0.209  0.00
Ti 0.791 0.531 0.457  0.00
Ti 0.531 0.457 0.791  0.00
Ti 0.367 0.062 0.147  -0.01
Ti 0.543 0.209 0.469  0.00
In 0.720 0.879 0.257  0.00
In 0.879 0.257 0.720  0.00
In 0.280 0.121 0.743  0.00
In 0.257 0.720 0.879  0.00
In 0.743 0.280 0.121  0.00
In 0.121 0.743 0.280  0.00
V 0.000 0.000 0.000  0.07

=====

Material: Ti4VIn
Method: DFT, PBE
State: optimized geometry

Calculated values
Space group: C2/c, No. 15
D(E_F): 9.4 states/eV/f.u.
Final energy: -7.216 eV/atom
Total moment: 0.003 μB per formula unit

a b c (Å): 4.938 7.327 7.059
angles (deg): 62.16 110.47 90.00
Element x y z (fractional)
V 0.000 0.500 0.500
V 0.500 0.000 0.500
In 0.153 0.250 0.000
In 0.847 0.750 0.000
Ti 0.746 0.322 0.176
Ti 0.981 0.895 0.357
Ti 0.624 0.605 0.643
Ti 0.430 0.822 0.176
Ti 0.019 0.105 0.643
Ti 0.376 0.395 0.357
Ti 0.254 0.678 0.824
Ti 0.570 0.178 0.824

=====

Material: Ti2VIn
Method: DFT, PBE
State: optimized geometry

Calculated values
Space group: R-3m, No. 166
D(E_F): 4.3 states/eV/f.u.
Final energy: -6.820 eV/atom
Total moment: 0.969 μB per formula unit

a b c (Å): 3.023 3.023 9.185
angles (deg): 80.53 80.53 60.00
Site moments in Bohr magnetons follow the coordinates.
Element x y z (fractional)
Ti 0.741 0.741 0.777  0.04
Ti 0.259 0.259 0.223  0.04
In 0.500 0.500 0.500  0.00
V 0.000 0.000 0.000  0.80

=====

Material: ZrTiVIn
Method: DFT, PBE
State: optimized geometry

Calculated values
Space group: F-43m, No. 216
D(E_F): 3.4 states/eV/f.u.
Final energy: -7.046 eV/atom
Total moment: 1.542 μB per formula unit

a b c (Å): 4.757 4.757 4.757
angles (deg): 60.00 60.00 60.00
Site moments in Bohr magnetons follow the coordinates.
Element x y z (fractional)
V 0.750 0.750 0.750  1.56
Ti 0.000 0.000 0.000  -0.27
In 0.250 0.250 0.250  -0.04
Zr 0.500 0.500 0.500  0.04

=====

Material: Ti5In2W
Method: DFT, PBE
State: optimized geometry

Calculated values
Space group: I4/mmm, No. 139
D(E_F): 10.1 states/eV/f.u.
Final energy: -7.375 eV/atom
Total moment: 0.000 μB per formula unit

a b c (Å): 4.691 4.691 7.294
angles (deg): 108.76 108.76 90.00
Element x y z (fractional)
W 0.000 0.000 0.000
Ti 0.389 0.889 0.777
Ti 0.889 0.389 0.777
Ti 0.500 0.500 0.000
Ti 0.611 0.111 0.223
Ti 0.111 0.611 0.223
In 0.750 0.750 0.499
In 0.250 0.250 0.501

=====

Material: Ti4InW
Method: DFT, PBE
State: optimized geometry

Calculated values
Space group: Immm, No. 71
D(E_F): 7.7 states/eV/f.u.
Final energy: -7.732 eV/atom
Total moment: 0.000 μB per formula unit

a b c (Å): 5.208 6.498 7.901
angles (deg): 114.28 109.24 90.00
Element x y z (fractional)
Ti 0.378 0.105 0.756
Ti 0.378 0.652 0.756
Ti 0.822 0.321 0.643
Ti 0.622 0.895 0.244
Ti 0.000 0.175 0.000
Ti 0.622 0.348 0.244
Ti 0.178 0.679 0.357
Ti 0.000 0.825 0.000
In 0.201 0.200 0.401
In 0.799 0.800 0.599
W 0.255 0.500 0.000
W 0.745 0.500 0.000

=====

Material: Ti6InW
Method: DFT, PBE
State: optimized geometry

Calculated values
Space group: R-3m, No. 166
D(E_F): 10.0 states/eV/f.u.
Final energy: -7.898 eV/atom
Total moment: 4.753 μB per formula unit

a b c (Å): 4.655 4.655 7.942
angles (deg): 72.96 72.96 60.00
Site moments in Bohr magnetons follow the coordinates.
Element x y z (fractional)
Ti 0.882 0.882 0.354  0.70
Ti 0.118 0.118 0.646  0.70
Ti 0.369 0.369 0.894  0.20
Ti 0.750 0.750 0.751  1.07
Ti 0.250 0.250 0.249  1.07
Ti 0.631 0.631 0.106  0.20
W 0.000 0.000 0.000  -0.13
In 0.500 0.500 0.500  -0.04

=====

Material: Ti3InW
Method: DFT, PBE
State: optimized geometry

Calculated values
Polymorph energy (0 for the lowest one): 0.000 eV/atom
Space group: Pm-3m, No. 221
D(E_F): 7.6 states/eV/f.u.
Final energy: -7.126 eV/atom
Total moment: 1.240 μB per formula unit

a b c (Å): 4.800 4.800 4.800
angles (deg): 90.00 90.00 90.00
Site moments in Bohr magnetons follow the coordinates.
Element x y z (fractional)
Ti 0.000 0.500 0.000  0.29
Ti 0.000 0.000 0.500  0.18
Ti 0.500 0.000 0.000  0.51
In 0.500 0.500 0.500  -0.01
W 0.000 0.000 0.000  -0.07

=====

Material: Ti3InW
Method: DFT, PBE
State: optimized geometry

Calculated values
Polymorph energy (0 for the lowest one): 1.049 eV/atom
Space group: Pm-3m, No. 221
D(E_F): 10.8 states/eV/f.u.
Final energy: -6.078 eV/atom
Total moment: 0.550 μB per formula unit

a b c (Å): 4.840 4.840 4.840
angles (deg): 90.00 90.00 90.00
Site moments in Bohr magnetons follow the coordinates.
Element x y z (fractional)
In 0.000 0.000 0.000  0.02
Ti 0.500 0.000 0.000  0.13
Ti 0.000 0.000 0.500  0.18
Ti 0.000 0.500 0.000  0.18
W 0.500 0.500 0.500  -0.13

=====

Material: TiInW2
Method: DFT, PBE
State: optimized geometry

Calculated values
Space group: I-42d, No. 122
D(E_F): 3.3 states/eV/f.u.
Final energy: -8.380 eV/atom
Total moment: 0.000 μB per formula unit

a b c (Å): 3.877 3.877 10.348
angles (deg): 79.20 79.20 90.00
Element x y z (fractional)
Ti 0.500 0.500 0.000
Ti 0.250 0.750 0.500
W 0.606 0.125 0.250
W 0.375 0.394 0.750
W 0.144 0.625 0.250
W 0.875 0.856 0.750
In 0.000 0.000 0.000
In 0.750 0.250 0.500

=====

Material: ZrTiInW
Method: DFT, PBE
State: optimized geometry

Calculated values
Space group: F-43m, No. 216
D(E_F): 4.0 states/eV/f.u.
Final energy: -8.027 eV/atom
Total moment: 0.000 μB per formula unit

a b c (Å): 4.751 4.751 4.751
angles (deg): 60.00 60.00 60.00
Element x y z (fractional)
Zr 0.500 0.500 0.500
Ti 0.000 0.000 0.000
In 0.250 0.250 0.250
W 0.750 0.750 0.750

=====

Material: YTiIn
Method: DFT, PBE
State: optimized geometry

Calculated values
Space group: Cmcm, No. 63
D(E_F): 3.2 states/eV/f.u.
Final energy: -5.845 eV/atom
Total moment: 0.378 μB per formula unit

a b c (Å): 3.547 3.294 12.392
angles (deg): 82.36 90.00 90.00
Site moments in Bohr magnetons follow the coordinates.
Element x y z (fractional)
Y 0.750 0.564 0.873  0.23
Y 0.250 0.436 0.127  0.23
In 0.250 0.151 0.697  0.00
In 0.750 0.849 0.303  0.00
Ti 0.750 0.721 0.558  -0.01
Ti 0.250 0.279 0.442  -0.01

=====

Material: YTiIn3
Method: DFT, PBE
State: optimized geometry

Calculated values
Polymorph energy (0 for the lowest one): 0.000 eV/atom
Space group: Pm-3m, No. 221
D(E_F): 1.8 states/eV/f.u.
Final energy: -4.339 eV/atom
Total moment: 0.000 μB per formula unit

a b c (Å): 5.203 5.203 5.203
angles (deg): 90.00 90.00 90.00
Element x y z (fractional)
Y 0.500 0.500 0.500
In 0.500 0.000 0.000
In 0.000 0.000 0.500
In 0.000 0.500 0.000
Ti 0.000 0.000 0.000